Entry 1:
VASP calculation (PBE-GGA) on a relaxed structure of HgTe2C.

The structure in extended XYZ format:
```
4
Lattice="1.270 0.916 4.747 -1.792 -2.885 3.668 3.043 -3.139 2.424" Properties=species:S:1:pos:R:3 pbc="T T T"
Hg 1.261 -2.553 5.419
Te 0.630 -1.277 2.709
Te 1.891 -3.830 8.128
C 0.000 0.000 0.000
```

Final energy, eV per atom: -2.33
ΔE to the lowest computed polymorph, eV per formula unit: 3.053
Formation energy from raw total energies, eV/atom: 1.623
Density of states at the Fermi level, states/eV per cell: 3.39
SG: Fm-3m (225)
Density, g/cm3: 8.8

Entry 2:
VASP calculation (PBE-GGA) on a relaxed structure of HgTe2C.

The structure in extended XYZ format:
```
8
Lattice="5.906 0.000 0.000 0.000 5.906 0.000 2.953 2.953 6.319" Properties=species:S:1:pos:R:3 pbc="T T T"
Te 7.383 6.875 4.739
Te 3.922 1.477 1.580
Te 4.430 4.938 4.739
Te 1.984 4.430 1.580
C 2.953 2.953 0.000
C 2.953 5.906 3.160
Hg 0.000 0.000 0.000
Hg 5.906 2.953 3.160
```

Final energy, eV per atom: -3.01
ΔE to the lowest computed polymorph, eV per formula unit: 0.334
Formation energy from raw total energies, eV/atom: 0.944
Density of states at the Fermi level, states/eV per cell: 1.33
SG: I-42d (122)
Density, g/cm3: 7.0

Entry 3:
VASP calculation (PBE-GGA) on a relaxed structure of Hg3TeC.

The structure in extended XYZ format:
```
5
Lattice="-0.355 -1.620 -4.528 3.881 -2.778 0.689 -2.840 -3.593 1.508" Properties=species:S:1:pos:R:3 pbc="T T T"
Te 0.343 -3.996 -1.166
Hg 1.940 -1.389 0.344
Hg -1.420 -1.797 0.754
Hg -0.178 -0.810 -2.264
C 0.000 0.000 0.000
```

Final energy, eV per atom: -1.75
ΔE to the lowest computed polymorph, eV per formula unit: 0.000
Formation energy from raw total energies, eV/atom: 0.899
Density of states at the Fermi level, states/eV per cell: 2.44
SG: Pm-3m (221)
Density, g/cm3: 11.0